A relaxed CeGaIr2 crystal. Source: Alexandria, functional GGA-PBE.

Properties
Formation energy from the elements (eV/atom): -0.53
DOS(E_F) (states/eV per cell): 2.7
Space-group type: P4/mmm (123)
Magnetization (μB per cell): 0.000

Cell lengths 3.8141, 4.3154, 4.3154 Å; angles 90.00, 90.00, 90.00 degrees
Closest atoms and distances in Å follow each position.
Sites, in units of the cell vectors:
Ir: 0.0000 0.0000 0.5000  4 Ce 2.88, 4 Ga 2.88, 4 Ir 3.05
Ir: 0.0000 0.5000 0.0000  4 Ce 2.88, 4 Ga 2.88, 4 Ir 3.05
Ga: 0.5000 0.0000 0.0000  8 Ir 2.88, 4 Ce 3.05
Ce: 0.5000 0.5000 0.5000  8 Ir 2.88, 4 Ga 3.05

=====

A relaxed Ce2Ga3Ir5 crystal. Source: Alexandria, functional GGA-PBE.

Properties
Formation energy from the elements (eV/atom): -0.59
DOS(E_F) (states/eV per cell): 11.2
Space-group type: Cmc2_1 (36)
Magnetization (μB per cell): 0.000

Cell lengths 4.1523, 6.8501, 12.8891 Å; angles 90.00, 99.27, 90.00 degrees
Closest atoms and distances in Å follow each position.
Sites, in units of the cell vectors:
Ce: 0.5189 0.7313 0.0377  5 Ir 2.88-3.02, 5 Ga 3.08-3.20
Ce: 0.1619 0.7532 0.3239  7 Ir 3.00-3.35, 2 Ga 3.24
Ce: 0.8381 0.2532 0.6761  7 Ir 3.00-3.35, 2 Ga 3.24
Ce: 0.4811 0.2313 0.9623  5 Ir 2.88-3.02, 5 Ga 3.08-3.20
Ga: 0.7595 0.7534 0.5190  7 Ir 2.42-2.62
Ga: 0.6081 0.4023 0.2163  6 Ir 2.53-2.79
Ga: 0.0543 0.0389 0.1085  5 Ir 2.49-2.78
Ga: 0.2405 0.2534 0.4810  7 Ir 2.42-2.62
Ga: 0.9457 0.5389 0.8915  5 Ir 2.49-2.78
Ga: 0.3919 0.9023 0.7837  6 Ir 2.53-2.79
Ir: 0.3928 0.4953 0.7857  3 Ga 2.49-2.79, 1 Ir 2.67
Ir: 0.2891 0.5565 0.5782  3 Ga 2.42-2.59, 1 Ir 2.67
Ir: 0.7109 0.0565 0.4218  3 Ga 2.42-2.59, 1 Ir 2.67
Ir: 0.1442 0.2381 0.2884  4 Ga 2.45-2.66
Ir: 0.2925 0.9527 0.5850  4 Ga 2.45-2.62, 1 Ir 2.72
Ir: 0.9543 0.9431 0.9086  4 Ga 2.63-2.78, 1 Ir 2.87
Ir: 0.7075 0.4527 0.4150  4 Ga 2.45-2.62, 1 Ir 2.72
Ir: 0.8558 0.7381 0.7116  4 Ga 2.45-2.66
Ir: 0.0457 0.4431 0.0914  4 Ga 2.63-2.78, 1 Ir 2.87
Ir: 0.6072 0.9953 0.2143  3 Ga 2.49-2.79, 1 Ir 2.67

=====

A relaxed Ce4Ga6Ir7 crystal. Source: Alexandria, functional GGA-PBE.

Properties
Formation energy from the elements (eV/atom): -0.77
DOS(E_F) (states/eV per cell): 13.8
Space-group type: Im-3m (229)
Magnetization (μB per cell): 0.000

Cell lengths 7.3541, 7.3541, 7.3541 Å; angles 109.47, 109.47, 109.47 degrees
Closest atoms and distances in Å follow each position.
Sites, in units of the cell vectors:
Ce: 0.5000 0.0000 0.0000  6 Ir 3.00, 6 Ga 3.05
Ce: 0.5000 0.5000 0.5000  6 Ir 3.00, 6 Ga 3.05
Ce: 0.0000 0.5000 0.0000  6 Ir 3.00, 6 Ga 3.05
Ce: 0.0000 0.0000 0.5000  6 Ir 3.00, 6 Ga 3.05
Ga: 0.6858 0.0000 0.6858  5 Ir 2.65-2.67
Ga: 0.6858 0.6858 0.0000  5 Ir 2.65-2.67
Ga: 0.0000 0.3142 0.3142  5 Ir 2.65-2.67
Ga: 0.3142 0.0000 0.3142  5 Ir 2.65-2.67
Ga: 0.3142 0.3142 0.0000  5 Ir 2.65-2.67
Ga: 0.0000 0.6858 0.6858  5 Ir 2.65-2.67
Ir: 0.7500 0.5000 0.2500  4 Ga 2.65
Ir: 0.2500 0.7500 0.5000  4 Ga 2.65
Ir: 0.5000 0.7500 0.2500  4 Ga 2.65
Ir: 0.7500 0.2500 0.5000  4 Ga 2.65
Ir: 0.2500 0.5000 0.7500  4 Ga 2.65
Ir: 0.5000 0.2500 0.7500  4 Ga 2.65
Ir: 0.0000 0.0000 0.0000  6 Ga 2.67

=====

A relaxed Ce5GaIr4 crystal. Source: Alexandria, functional GGA-PBE.

Properties
Formation energy from the elements (eV/atom): -0.56
DOS(E_F) (states/eV per cell): 18.8
Space-group type: C2/m (12)
Magnetization (μB per cell): 0.709

Cell lengths 4.3589, 6.7868, 9.5291 Å; angles 123.49, 103.22, 90.00 degrees
Closest atoms and distances in Å follow each position.
Sites, in units of the cell vectors:
Ce: 0.8392 0.6725 0.6784  4 Ir 2.88-2.96, 1 Ce 3.00
Ce: 0.8339 0.2225 0.6678  4 Ir 2.79-2.90, 1 Ce 3.00
Ce: 0.1661 0.7775 0.3322  4 Ir 2.79-2.90, 1 Ce 3.00
Ce: 0.5000 0.5000 0.0000  6 Ir 2.91-3.15
Ce: 0.1608 0.3275 0.3216  4 Ir 2.88-2.96, 1 Ce 3.00
Ga: 0.5000 0.0000 0.0000  6 Ir 2.65-2.74
Ir: 0.3437 0.9564 0.6875  1 Ga 2.74, 5 Ce 2.79-2.90, 2 Ir 3.03
Ir: 0.0185 0.8108 0.0371  2 Ga 2.65, 5 Ce 2.87-2.96
Ir: 0.6563 0.0436 0.3125  1 Ga 2.74, 5 Ce 2.79-2.90, 2 Ir 3.03
Ir: 0.9815 0.1892 0.9629  2 Ga 2.65, 5 Ce 2.87-2.96

=====

A relaxed Ce4GaIr crystal. Source: Alexandria, functional GGA-PBE.

Properties
Formation energy from the elements (eV/atom): -0.39
DOS(E_F) (states/eV per cell): 33.9
Space-group type: Cmcm (63)
ΔE to the lowest computed polymorph (meV/atom): 24
Magnetization (μB per cell): 4.299

Cell lengths 5.2375, 6.1705, 10.2252 Å; angles 90.00, 104.84, 90.00 degrees
Closest atoms and distances in Å follow each position.
Sites, in units of the cell vectors:
Ce: 0.9030 0.3222 0.8060  2 Ir 2.63
Ce: 0.0970 0.8222 0.1940  2 Ir 2.63
Ce: 0.4444 0.8222 0.8888  1 Ir 2.79
Ce: 0.5556 0.3222 0.1112  1 Ir 2.79
Ce: 0.7129 0.5429 0.4257  3 Ce 2.72-3.02, 1 Ir 3.05
Ce: 0.2871 0.0429 0.5743  3 Ce 2.72-3.02, 1 Ir 3.05
Ce: 0.7129 0.1016 0.4258  3 Ce 2.72-3.02, 1 Ir 3.05
Ce: 0.2871 0.6016 0.5742  3 Ce 2.72-3.02, 1 Ir 3.05
Ga: 0.8490 0.8222 0.6980  10 Ce 3.19-3.26
Ga: 0.1510 0.3222 0.3020  10 Ce 3.19-3.26
Ir: 0.5857 0.8222 0.1714  3 Ce 2.63-2.79
Ir: 0.4143 0.3222 0.8286  3 Ce 2.63-2.79

=====

A relaxed CeGaIr2 crystal. Source: Alexandria, functional GGA-PBE.

Properties
Formation energy from the elements (eV/atom): -0.52
DOS(E_F) (states/eV per cell): 4.7
Space-group type: P4/mmm (123)
Magnetization (μB per cell): 0.001

Cell lengths 3.0865, 3.0865, 7.2350 Å; angles 90.00, 90.00, 90.00 degrees
Closest atoms and distances in Å follow each position.
Sites, in units of the cell vectors:
Ir: 0.0000 0.0000 0.7918  4 Ga 2.65
Ir: 0.0000 0.0000 0.2082  4 Ga 2.65
Ga: 0.5000 0.5000 0.0000  8 Ir 2.65
Ce: 0.5000 0.5000 0.5000  8 Ir 3.04, 4 Ce 3.09

=====

A relaxed Ce3Ga9Ir2 crystal. Source: Alexandria, functional GGA-PBE.

Properties
Formation energy from the elements (eV/atom): -0.59
DOS(E_F) (states/eV per cell): 16.2
Space-group type: Immm (71)
Magnetization (μB per cell): 1.322

Cell lengths 4.3175, 8.2286, 8.2286 Å; angles 73.95, 74.79, 74.79 degrees
Closest atoms and distances in Å follow each position.
Sites, in units of the cell vectors:
Ce: 0.0000 0.0000 0.0000  12 Ga 3.17-3.26, 4 Ir 3.53
Ce: 0.6753 0.3247 0.3247  10 Ga 3.07-3.18, 2 Ir 3.07
Ce: 0.3247 0.6753 0.6753  10 Ga 3.07-3.18, 2 Ir 3.07
Ga: 0.0000 0.5000 0.5000  4 Ga 2.71
Ga: 0.6677 0.9617 0.7030  4 Ga 2.56-2.71, 1 Ir 2.57
Ga: 0.3323 0.0383 0.2970  4 Ga 2.56-2.71, 1 Ir 2.57
Ga: 0.6677 0.7030 0.9617  4 Ga 2.56-2.71, 1 Ir 2.57
Ga: 0.3323 0.2970 0.0383  4 Ga 2.56-2.71, 1 Ir 2.57
Ga: 0.8728 0.8497 0.4047  4 Ga 2.66-2.71, 2 Ir 2.68
Ga: 0.1272 0.1503 0.5953  4 Ga 2.66-2.71, 2 Ir 2.68
Ga: 0.8728 0.4047 0.8497  4 Ga 2.66-2.71, 2 Ir 2.68
Ga: 0.1272 0.5953 0.1503  4 Ga 2.66-2.71, 2 Ir 2.68
Ir: 0.5000 0.2817 0.7183  6 Ga 2.57-2.68
Ir: 0.5000 0.7183 0.2817  6 Ga 2.57-2.68

=====

A relaxed CeGa3Ir crystal. Source: Alexandria, functional GGA-PBE.

Properties
Formation energy from the elements (eV/atom): -0.63
DOS(E_F) (states/eV per cell): 19.0
Space-group type: Pnma (62)
ΔE to the lowest computed polymorph (meV/atom): 0
Magnetization (μB per cell): 1.917

Cell lengths 4.2926, 8.4008, 10.7501 Å; angles 90.00, 90.00, 90.00 degrees
Closest atoms and distances in Å follow each position.
Sites, in units of the cell vectors:
Ce: 0.7500 0.7932 0.0172  8 Ga 3.02-3.23, 2 Ir 3.20
Ce: 0.2500 0.7068 0.5172  8 Ga 3.02-3.23, 2 Ir 3.20
Ce: 0.7500 0.2932 0.4828  8 Ga 3.02-3.23, 2 Ir 3.20
Ce: 0.2500 0.2068 0.9828  8 Ga 3.02-3.23, 2 Ir 3.20
Ga: 0.2500 0.5584 0.0915  3 Ir 2.60-2.62, 2 Ga 2.72-2.80
Ga: 0.7500 0.4416 0.9085  3 Ir 2.60-2.62, 2 Ga 2.72-2.80
Ga: 0.2500 0.0584 0.4085  3 Ir 2.60-2.62, 2 Ga 2.72-2.80
Ga: 0.7500 0.9416 0.5915  3 Ir 2.60-2.62, 2 Ga 2.72-2.80
Ga: 0.2500 0.3954 0.6926  2 Ir 2.47-2.48
Ga: 0.7500 0.1046 0.1926  2 Ir 2.47-2.48
Ga: 0.2500 0.8954 0.8074  2 Ir 2.47-2.48
Ga: 0.7500 0.6477 0.7136  2 Ir 2.64, 2 Ga 2.72-2.80
Ga: 0.2500 0.3523 0.2864  2 Ir 2.64, 2 Ga 2.72-2.80
Ga: 0.7500 0.1477 0.7864  2 Ir 2.64, 2 Ga 2.72-2.80
Ga: 0.7500 0.6046 0.3074  2 Ir 2.47-2.48
Ga: 0.2500 0.8523 0.2136  2 Ir 2.64, 2 Ga 2.72-2.80
Ir: 0.2500 0.1060 0.6474  7 Ga 2.47-2.64
Ir: 0.2500 0.6060 0.8526  7 Ga 2.47-2.64
Ir: 0.7500 0.3940 0.1474  7 Ga 2.47-2.64
Ir: 0.7500 0.8940 0.3526  7 Ga 2.47-2.64

=====

A relaxed Ce2Ga4Ir crystal. Source: Alexandria, functional GGA-PBE.

Properties
Formation energy from the elements (eV/atom): -0.13
DOS(E_F) (states/eV per cell): 8.8
Space-group type: Cmmm (65)
Magnetization (μB per cell): 0.762

Cell lengths 3.0780, 4.5199, 10.2161 Å; angles 102.78, 90.00, 90.00 degrees
Closest atoms and distances in Å follow each position.
Sites, in units of the cell vectors:
Ce: 0.5000 0.2104 0.4209  4 Ce 2.76-3.08, 2 Ga 3.07
Ce: 0.5000 0.7896 0.5791  4 Ce 2.76-3.08, 2 Ga 3.07
Ga: 0.5000 0.6062 0.2124  2 Ir 2.62, 4 Ga 2.84
Ga: 0.0000 0.9316 0.8632  2 Ir 2.64, 5 Ga 2.73-2.84
Ga: 0.5000 0.3938 0.7876  2 Ir 2.62, 4 Ga 2.84
Ga: 0.0000 0.0684 0.1368  2 Ir 2.64, 5 Ga 2.73-2.84
Ir: 0.0000 0.5000 0.0000  8 Ga 2.62-2.64

=====

A relaxed Ce8GaIr2 crystal. Source: Alexandria, functional GGA-PBE.

Properties
Formation energy from the elements (eV/atom): -0.33
DOS(E_F) (states/eV per cell): 28.6
Space-group type: C2/m (12)
Magnetization (μB per cell): 2.070

Cell lengths 5.1775, 8.3341, 7.9088 Å; angles 58.20, 82.01, 74.71 degrees
Closest atoms and distances in Å follow each position.
Sites, in units of the cell vectors:
Ce: 0.9335 0.0739 0.2066  2 Ce 2.78-2.85, 2 Ir 3.04-3.10
Ce: 0.9335 0.2805 0.7934  2 Ce 2.78-2.85, 2 Ir 3.04-3.10
Ce: 0.3218 0.3993 0.0000  1 Ce 2.80, 2 Ir 3.07
Ce: 0.5000 0.7553 0.4893  2 Ir 2.72
Ce: 0.5000 0.2447 0.5107  2 Ir 2.72
Ce: 0.6782 0.6007 0.0000  1 Ce 2.80, 2 Ir 3.07
Ce: 0.0665 0.7195 0.2066  2 Ce 2.78-2.85, 2 Ir 3.04-3.10
Ce: 0.0665 0.9261 0.7934  2 Ce 2.78-2.85, 2 Ir 3.04-3.10
Ga: 0.5000 0.0000 0.0000  12 Ce 3.21-3.30
Ir: 0.0000 0.3078 0.3843  4 Ce 2.72-3.04
Ir: 0.0000 0.6922 0.6157  4 Ce 2.72-3.04

=====

A relaxed Ce5GaIr2 crystal. Source: Alexandria, functional GGA-PBE.

Properties
Formation energy from the elements (eV/atom): -0.52
DOS(E_F) (states/eV per cell): 33.1
Space-group type: Cmcm (63)
ΔE to the lowest computed polymorph (meV/atom): 0
Magnetization (μB per cell): 2.046

Cell lengths 4.5206, 5.8319, 15.8791 Å; angles 90.00, 90.00, 112.80 degrees
Closest atoms and distances in Å follow each position.
Sites, in units of the cell vectors:
Ce: 0.9184 0.8368 0.8925  2 Ir 2.93, 2 Ce 2.98
Ce: 0.9184 0.8368 0.6075  2 Ir 2.93, 2 Ce 2.98
Ce: 0.4081 0.8162 0.4251  3 Ir 2.85-2.89, 1 Ga 2.93, 3 Ce 2.98-3.09
Ce: 0.4081 0.8162 0.0749  3 Ir 2.85-2.89, 1 Ga 2.93, 3 Ce 2.98-3.09
Ce: 0.7843 0.5686 0.2500  2 Ir 2.83, 1 Ga 3.11
Ce: 0.2157 0.4314 0.7500  2 Ir 2.83, 1 Ga 3.11
Ce: 0.5919 0.1838 0.5749  3 Ir 2.85-2.89, 1 Ga 2.93, 3 Ce 2.98-3.09
Ce: 0.5919 0.1838 0.9251  3 Ir 2.85-2.89, 1 Ga 2.93, 3 Ce 2.98-3.09
Ce: 0.0816 0.1632 0.1075  2 Ir 2.93, 2 Ce 2.98
Ce: 0.0816 0.1632 0.3925  2 Ir 2.93, 2 Ce 2.98
Ga: 0.5048 0.0095 0.7500  5 Ce 2.93-3.20
Ga: 0.4952 0.9905 0.2500  5 Ce 2.93-3.20
Ir: 0.7474 0.4947 0.4265  6 Ce 2.83-2.93
Ir: 0.7474 0.4947 0.0735  6 Ce 2.83-2.93
Ir: 0.2526 0.5053 0.5735  6 Ce 2.83-2.93
Ir: 0.2526 0.5053 0.9265  6 Ce 2.83-2.93

=====

A relaxed Ce5GaIr2 crystal. Source: Alexandria, functional GGA-PBE.

Properties
Formation energy from the elements (eV/atom): -0.41
DOS(E_F) (states/eV per cell): 39.4
Space-group type: Cmcm (63)
ΔE to the lowest computed polymorph (meV/atom): 113
Magnetization (μB per cell): 3.469

Cell lengths 5.2808, 6.1171, 14.3919 Å; angles 90.00, 90.00, 115.57 degrees
Closest atoms and distances in Å follow each position.
Sites, in units of the cell vectors:
Ce: 0.9102 0.8204 0.8444  1 Ce 2.72, 2 Ir 2.82-2.95
Ce: 0.9102 0.8204 0.6556  1 Ce 2.72, 2 Ir 2.82-2.95
Ce: 0.3655 0.7309 0.4660  3 Ir 2.65-2.91
Ce: 0.3655 0.7309 0.0340  3 Ir 2.65-2.91
Ce: 0.8046 0.6092 0.2500  2 Ir 3.01
Ce: 0.1954 0.3908 0.7500  2 Ir 3.01
Ce: 0.6345 0.2691 0.5340  3 Ir 2.65-2.91
Ce: 0.6345 0.2691 0.9660  3 Ir 2.65-2.91
Ce: 0.0898 0.1796 0.1556  1 Ce 2.72, 2 Ir 2.82-2.95
Ce: 0.0898 0.1796 0.3444  1 Ce 2.72, 2 Ir 2.82-2.95
Ga: 0.5043 0.0086 0.7500  9 Ce 3.15-3.42
Ga: 0.4957 0.9914 0.2500  9 Ce 3.15-3.42
Ir: 0.8759 0.7517 0.4522  5 Ce 2.65-2.95
Ir: 0.8759 0.7517 0.0478  5 Ce 2.65-2.95
Ir: 0.1241 0.2483 0.5478  5 Ce 2.65-2.95
Ir: 0.1241 0.2483 0.9522  5 Ce 2.65-2.95